CaCdSn2H: relaxed, PBE.

Values from the calculation:
Size of the total moment = 0.000 μB/f.u.
E = -2.9867 eV/atom
Mass density = 5.982 g/cm³
Volume = 108.51 Å³/f.u.
Fermi-level density of states = 0.480 states/eV per atom

Lattice parameters (Å, degrees): 4.8709 4.8709 4.5737 90.00 90.00 90.00
Fractional positions:
H: 0.0000 0.0000 0.0000
Ca: 0.0000 0.0000 0.5000
Sn: 0.0000 0.5000 0.0000
Sn: 0.5000 0.0000 0.0000
Cd: 0.5000 0.5000 0.5000